{"formula": "K2DyNi3F12", "functional": "PBE+U", "state": "relaxed", "mass_density_g_cm3": 3.789, "dft_energy_ev_per_cell": -84.6, "lattice_angstrom": [[3.671, 2.120, 6.053], [-3.671, 2.120, 6.053], [0.000, -4.239, 6.053]], "species": ["K", "K", "Dy", "Ni", "Ni", "Ni", "F", "F", "F", "F", "F", "F", "F", "F", "F", "F", "F", "F"], "frac_coords": [[0.122, 0.122, 0.122], [0.878, 0.878, 0.878], [0.500, 0.500, 0.500], [0.000, 0.500, 0.500], [0.500, 0.000, 0.500], [0.500, 0.500, 0.000], [0.136, 0.598, 0.598], [0.198, 0.198, 0.588], [0.198, 0.588, 0.198], [0.402, 0.402, 0.864], [0.402, 0.864, 0.402], [0.412, 0.802, 0.802], [0.588, 0.198, 0.198], [0.598, 0.136, 0.598], [0.598, 0.598, 0.136], [0.802, 0.412, 0.802], [0.802, 0.802, 0.412], [0.864, 0.402, 0.402]]}